Entry 1:
Material: YZnCoSb
Method: DFT, PBE-GGA
State: relaxed

Properties
Excess energy over the best structure of this formula in the dataset (eV per formula unit): 0.00
Volume (Å³/cell): 74

Cell: 4.723 4.723 4.723 Å, 60.00 60.00 60.00°
Positions (direct):
Sb  0.000  0.000  0.000
Zn  0.250  0.250  0.250
Y  0.500  0.500  0.500
Co  0.750  0.750  0.750

=====

Entry 2:
Material: TaAlNiMo
Method: DFT, PBE-GGA
State: relaxed

Properties
Excess energy over the best structure of this formula in the dataset (eV per formula unit): 0.00
Volume (Å³/cell): 59

Cell: 4.380 4.380 4.380 Å, 60.00 60.00 60.00°
Positions (direct):
Ni  0.750  0.750  0.750
Mo  0.250  0.250  0.250
Ta  0.500  0.500  0.500
Al  0.000  0.000  0.000

=====

Entry 3:
Material: LuTlHgTe3
Method: DFT, PBE-GGA
State: relaxed

Properties
Excess energy over the best structure of this formula in the dataset (eV per formula unit): 0.00
Volume (Å³/cell): 389

Cell: 8.002 8.002 11.534 Å, 90.00 90.00 148.17°
Positions (direct):
Lu  0.500  0.500  0.500
Lu  0.500  0.500  0.000
Hg  0.041  0.959  0.250
Hg  0.959  0.041  0.750
Te  0.863  0.137  0.542
Te  0.419  0.581  0.250
Te  0.137  0.863  0.458
Te  0.137  0.863  0.042
Te  0.581  0.419  0.750
Te  0.863  0.137  0.958
Tl  0.740  0.260  0.250
Tl  0.260  0.740  0.750

=====

Entry 4:
Material: GdDyPd4Pb2
Method: DFT, PBE-GGA
State: relaxed

Properties
Total DFT energy (no corrections) (eV per cell): -42.90
Volume (Å³/cell): 169

Cell: 4.680 4.680 8.918 Å, 90.00 90.00 120.00°
Positions (direct):
Pd  0.000  0.000  0.339
Pd  0.667  0.333  0.159
Pd  0.667  0.333  0.841
Pd  0.000  0.000  0.661
Pb  0.333  0.667  0.248
Pb  0.333  0.667  0.752
Gd  0.667  0.333  0.500
Dy  0.000  0.000  0.000

=====

Entry 5:
Material: CsTbNiSe3
Method: DFT, PBE-GGA
State: relaxed

Properties
Excess energy over the best structure of this formula in the dataset (eV per formula unit): 0.10
Volume (Å³/cell): 359

Cell: 8.298 8.298 10.860 Å, 90.00 90.00 151.34°
Positions (direct):
Se  0.449  0.551  0.250
Se  0.884  0.116  0.933
Se  0.116  0.884  0.067
Se  0.551  0.449  0.750
Se  0.116  0.884  0.433
Se  0.884  0.116  0.567
Tb  0.500  0.500  0.000
Tb  0.500  0.500  0.500
Ni  0.968  0.032  0.750
Ni  0.032  0.968  0.250
Cs  0.755  0.245  0.250
Cs  0.245  0.755  0.750

=====

Entry 6:
Material: SrMgIn2Hg
Method: DFT, PBE-GGA
State: relaxed

Properties
Total DFT energy (no corrections) (eV per cell): -10.52
Volume (Å³/cell): 139

Cell: 7.221 7.221 7.221 Å, 142.42 142.42 54.20°
Positions (direct):
In  0.749  0.249  0.500
In  0.249  0.749  0.500
Mg  0.611  0.611  0.000
Sr  0.989  0.989  0.000
Hg  0.401  0.401  0.000